# 1
K2NaAs2S6 | GGA-PBE | optimized geometry

Summary:
Calculated total energy ... -3.94 eV per atom

Cell lengths 7.248, 7.248, 8.563 Å; angles 116.61, 116.61, 53.97 degrees
Element x y z (fractional)
K: 0.217 0.217 0.225
K: 0.783 0.783 0.775
Na: 0.000 0.000 0.500
As: 0.475 0.475 0.835
As: 0.525 0.525 0.165
S: 0.164 0.698 0.183
S: 0.284 0.284 0.662
S: 0.302 0.836 0.817
S: 0.698 0.164 0.183
S: 0.716 0.716 0.338
S: 0.836 0.302 0.817

# 2
V12Si3Rh | GGA-PBE | optimized geometry

Summary:
Calculated total energy ... -8.74 eV per atom

Cell lengths 4.714, 4.718, 9.459 Å; angles 90.00, 90.00, 90.00 degrees
Element x y z (fractional)
V: 0.000 0.000 0.122
V: 0.000 0.000 0.370
V: 0.000 0.000 0.630
V: 0.000 0.000 0.878
V: 0.252 0.500 0.253
V: 0.252 0.500 0.747
V: 0.500 0.246 0.500
V: 0.500 0.249 0.000
V: 0.500 0.751 0.000
V: 0.500 0.754 0.500
V: 0.748 0.500 0.253
V: 0.748 0.500 0.747
Si: 0.000 0.500 0.500
Si: 0.500 0.000 0.253
Si: 0.500 0.000 0.747
Rh: 0.000 0.500 0.000

# 3
Ho2PuOs2 | GGA-PBE | optimized geometry

Summary:
DFT formation energy ... -0.279 eV/atom

Cell lengths 4.253, 5.735, 9.072 Å; angles 90.00, 90.00, 90.00 degrees
Element x y z (fractional)
Ho: 0.000 0.000 0.197
Ho: 0.000 0.000 0.803
Ho: 0.500 0.500 0.303
Ho: 0.500 0.500 0.697
Pu: 0.000 0.500 0.000
Pu: 0.500 0.000 0.500
Os: 0.000 0.270 0.500
Os: 0.000 0.730 0.500
Os: 0.500 0.230 0.000
Os: 0.500 0.770 0.000

# 4
Sn2TeBr | GGA-PBE | optimized geometry

Summary:
Calculated total energy ... -3.35 eV per atom

Cell lengths 5.523, 5.523, 20.027 Å; angles 90.00, 90.00, 120.00 degrees
Element x y z (fractional)
Sn: 0.000 0.000 0.139
Sn: 0.000 0.000 0.861
Sn: 0.333 0.667 0.527
Sn: 0.333 0.667 0.806
Sn: 0.667 0.333 0.194
Sn: 0.667 0.333 0.473
Te: 0.000 0.000 0.500
Te: 0.333 0.667 0.167
Te: 0.667 0.333 0.833
Br: 0.000 0.000 0.000
Br: 0.333 0.667 0.667
Br: 0.667 0.333 0.333

# 5
LaZn2SiAu4 | GGA-PBE | optimized geometry

Summary:
Calculated total energy ... -3.59 eV per atom

Cell lengths 9.548, 9.548, 9.548 Å; angles 26.97, 26.97, 26.97 degrees
Element x y z (fractional)
La: 0.000 0.000 0.000
Zn: 0.249 0.249 0.249
Zn: 0.751 0.751 0.751
Si: 0.500 0.500 0.500
Au: 0.135 0.135 0.135
Au: 0.402 0.402 0.402
Au: 0.598 0.598 0.598
Au: 0.865 0.865 0.865

# 6
TmSN | GGA-PBE | optimized geometry

Summary:
Calculated total energy ... -6.62 eV per atom

Cell lengths 12.672, 3.370, 6.558 Å; angles 90.00, 108.91, 90.00 degrees
Element x y z (fractional)
Tm: 0.000 0.000 0.000
Tm: 0.000 0.000 0.500
Tm: 0.500 0.500 0.000
Tm: 0.500 0.500 0.500
S: 0.127 0.500 0.330
S: 0.373 0.000 0.670
S: 0.627 0.000 0.330
S: 0.873 0.500 0.670
N: 0.028 0.500 0.768
N: 0.472 0.000 0.232
N: 0.528 0.000 0.768
N: 0.972 0.500 0.232